1.
Np2Ni3P4Ir: optimized geometry, GGA-PBE.

**Calculated total energy**: -8.07 eV/atom

```
data_Np2Ni3P4Ir
_symmetry_space_group_name_H-M 'P 1'
_symmetry_Int_Tables_number 1
_symmetry_space_group_name_Hall 'P 1'
_cell_length_a 4.024
_cell_length_b 4.024
_cell_length_c 9.167
_cell_angle_alpha 90.00
_cell_angle_beta 90.00
_cell_angle_gamma 90.00
loop_
_atom_site_label
_atom_site_fract_x
_atom_site_fract_y
_atom_site_fract_z
Np1 0.000 0.500 0.762
Np2 0.500 0.000 0.238
P1 0.500 0.000 0.643
P2 0.000 0.000 0.000
P3 0.500 0.500 0.000
P4 0.000 0.500 0.357
Ir1 0.500 0.500 0.500
Ni1 0.000 0.000 0.500
Ni2 0.000 0.500 0.113
Ni3 0.500 0.000 0.887
```



2.
Np2Ni4P3Ir: optimized geometry, GGA-PBE.

**Calculated total energy**: -7.95 eV/atom

```
data_Np2Ni4P3Ir
_symmetry_space_group_name_H-M 'P 1'
_symmetry_Int_Tables_number 1
_symmetry_space_group_name_Hall 'P 1'
_cell_length_a 3.784
_cell_length_b 3.784
_cell_length_c 10.181
_cell_angle_alpha 90.00
_cell_angle_beta 90.00
_cell_angle_gamma 90.00
loop_
_atom_site_label
_atom_site_fract_x
_atom_site_fract_y
_atom_site_fract_z
Ni1 0.500 0.000 0.661
Ni2 0.500 0.500 0.000
Ni3 0.000 0.000 0.000
Ni4 0.000 0.500 0.339
Np1 0.000 0.500 0.749
Np2 0.500 0.000 0.251
Ir1 0.500 0.500 0.500
P1 0.000 0.000 0.500
P2 0.500 0.000 0.876
P3 0.000 0.500 0.124
```



3.
PmNpNiIr: optimized geometry, GGA-PBE.

**Calculated total energy**: -8.27 eV/atom

```
data_PmNpNiIr
_symmetry_space_group_name_H-M 'P 1'
_symmetry_Int_Tables_number 1
_symmetry_space_group_name_Hall 'P 1'
_cell_length_a 4.871
_cell_length_b 4.871
_cell_length_c 4.871
_cell_angle_alpha 60.00
_cell_angle_beta 60.00
_cell_angle_gamma 60.00
loop_
_atom_site_label
_atom_site_fract_x
_atom_site_fract_y
_atom_site_fract_z
Pm1 0.500 0.500 0.500
Ir1 0.250 0.250 0.250
Np1 0.000 0.000 0.000
Ni1 0.750 0.750 0.750
```



4.
NpNiIrRh: optimized geometry, GGA-PBE.

**Calculated total energy**: -9.06 eV/atom

```
data_NpNiIrRh
_symmetry_space_group_name_H-M 'P 1'
_symmetry_Int_Tables_number 1
_symmetry_space_group_name_Hall 'P 1'
_cell_length_a 3.867
_cell_length_b 4.030
_cell_length_c 4.045
_cell_angle_alpha 90.00
_cell_angle_beta 90.00
_cell_angle_gamma 90.00
loop_
_atom_site_label
_atom_site_fract_x
_atom_site_fract_y
_atom_site_fract_z
Np1 0.500 0.000 0.500
Rh1 0.000 0.500 0.500
Ir1 0.000 0.000 0.000
Ni1 0.500 0.500 0.000
```



5.
NpSi2NiIr: optimized geometry, GGA-PBE.

**Raw formation energy**: -3.117 eV/f.u.

```
data_NpSi2NiIr
_symmetry_space_group_name_H-M 'P 1'
_symmetry_Int_Tables_number 1
_symmetry_space_group_name_Hall 'P 1'
_cell_length_a 3.940
_cell_length_b 3.940
_cell_length_c 5.803
_cell_angle_alpha 109.85
_cell_angle_beta 109.85
_cell_angle_gamma 90.00
loop_
_atom_site_label
_atom_site_fract_x
_atom_site_fract_y
_atom_site_fract_z
Np1 0.000 0.000 0.000
Ni1 0.250 0.750 0.500
Si1 0.382 0.382 0.764
Si2 0.618 0.618 0.236
Ir1 0.750 0.250 0.500
```



6.
NpSi3NiIr: optimized geometry, GGA-PBE.

**Raw formation energy**: -1.442 eV/f.u.

```
data_NpSi3NiIr
_symmetry_space_group_name_H-M 'P 1'
_symmetry_Int_Tables_number 1
_symmetry_space_group_name_Hall 'P 1'
_cell_length_a 5.568
_cell_length_b 5.556
_cell_length_c 7.672
_cell_angle_alpha 111.23
_cell_angle_beta 90.00
_cell_angle_gamma 90.00
loop_
_atom_site_label
_atom_site_fract_x
_atom_site_fract_y
_atom_site_fract_z
Ir1 0.750 0.593 0.186
Ir2 0.250 0.407 0.814
Np1 0.250 0.817 0.635
Np2 0.750 0.183 0.365
Si1 0.250 0.244 0.488
Si2 0.500 0.759 0.000
Si3 0.000 0.759 0.000
Si4 0.500 0.241 0.000
Si5 0.000 0.241 0.000
Si6 0.750 0.756 0.512
Ni1 0.750 0.909 0.819
Ni2 0.250 0.091 0.181
```